First-principles (GGA-PBEsol) data for a relaxed Ti4Mn5V3 crystal, as listed in the Alexandria database.

Cell and atoms, written as POSCAR:
```
Ti4Mn5V3
1.0
-1.946 -2.227 -3.777
-0.101 -2.085 4.328
-6.818 3.428 1.493
Ti Mn V
4 5 3
Direct
0.666 0.332 0.691 Ti
0.334 0.667 0.816 Ti
0.334 0.667 0.184 Ti
0.666 0.332 0.309 Ti
0.661 0.834 0.500 Mn
0.174 0.834 0.500 Mn
0.827 0.653 0.000 Mn
0.347 0.174 0.000 Mn
0.827 0.174 0.000 Mn
0.996 0.993 0.758 V
0.996 0.993 0.242 V
0.173 0.347 0.500 V
```

- Fermi-level density of states: 0.729 states/eV/atom
- Total energy: -113.75 eV per cell